Entry 1:
DFT (meta-GGA SCAN) results for SiAg6SO8 at its PBEsol-relaxed geometry.

```
SiAg6SO8
1.0
-3.4226 3.4226 8.9982
3.4226 -3.4226 8.9982
3.4226 3.4226 -8.9982
Si Ag S O
2 12 2 16
direct
0.3750 0.6250 0.7500 Si
0.6250 0.3750 0.2500 Si
0.0000 0.2935 0.2935 Ag
0.0000 0.7065 0.7065 Ag
0.1442 0.3942 0.7500 Ag
0.2935 0.0000 0.7935 Ag
0.2935 0.5000 0.2935 Ag
0.3942 0.1442 0.2500 Ag
0.5000 0.2935 0.7935 Ag
0.5000 0.7065 0.2065 Ag
0.6058 0.8558 0.7500 Ag
0.7065 0.0000 0.2065 Ag
0.7065 0.5000 0.7065 Ag
0.8558 0.6058 0.2500 Ag
0.1250 0.8750 0.2500 S
0.8750 0.1250 0.7500 S
0.0055 0.0773 0.9282 O
0.0773 0.0055 0.4282 O
0.0773 0.6491 0.0718 O
0.2261 0.6766 0.5495 O
0.3234 0.3729 0.5495 O
0.3234 0.7739 0.9505 O
0.3509 0.9227 0.4282 O
0.3729 0.3234 0.0495 O
0.6271 0.6766 0.9505 O
0.6491 0.0773 0.5718 O
0.6766 0.2261 0.0495 O
0.6766 0.6271 0.4505 O
0.7739 0.3234 0.4505 O
0.9227 0.3509 0.9282 O
0.9227 0.9945 0.5718 O
0.9945 0.9227 0.0718 O
```

Computed properties:
Formation energy from raw total energies = -1107 meV/atom
Total magnetic moment = 0.00 μB per formula unit
Symmetry = I4_1/amd, No. 141

Entry 2:
DFT (meta-GGA SCAN) results for Ag3SbO at its PBEsol-relaxed geometry.

```
Ag3SbO
1.0
5.1471 0.0000 0.0000
0.0000 5.1471 0.0000
0.0000 0.0000 5.1471
Ag Sb O
3 1 1
direct
0.0000 0.0000 0.5000 Ag
0.0000 0.5000 0.0000 Ag
0.5000 0.0000 0.0000 Ag
0.0000 0.0000 0.0000 Sb
0.5000 0.5000 0.5000 O
```

Computed properties:
Formation energy from raw total energies = 862 meV/atom
Total magnetic moment = 1.92 μB per formula unit
Symmetry = Pm-3m, No. 221

Result set for total DFT energy (no corrections): -550.8 -133.3 eV/cell, one per record in the order listed.